## Tb4AlTlZn2 (PBE)

Data for a relaxed Tb4AlTlZn2 crystal.

a b c (Å): 5.1667 5.1667 8.9894
angles (deg): 73.30 73.30 60.00
Last column: nearest neighbours and their distance in Å.
Positions (direct):
1 Zn 0.2482 0.2482 0.2554  8 Tb 3.05-3.31
2 Zn 0.7518 0.7518 0.7446  8 Tb 3.05-3.31
3 Al 0.5000 0.5000 0.5000  8 Tb 3.09-3.14
4 Tl 0.0000 0.0000 0.0000  8 Tb 3.20-3.26
5 Tb 0.3785 0.3785 0.8646  1 Al 3.09, 4 Zn 3.15-3.31, 3 Tl 3.20
6 Tb 0.6215 0.6215 0.1354  1 Al 3.09, 4 Zn 3.15-3.31, 3 Tl 3.20
7 Tb 0.1282 0.1282 0.6155  4 Zn 3.05-3.18, 3 Al 3.14, 1 Tl 3.26
8 Tb 0.8718 0.8718 0.3845  4 Zn 3.05-3.18, 3 Al 3.14, 1 Tl 3.26

## Properties
Size of the total moment   0.00 μB/cell
Symmetry   R-3m
Calculated total energy   -3.75 eV per atom
E_form   -0.356 eV/atom

---

## TbTm2Al (PBE)

Data for a relaxed TbTm2Al crystal.

a b c (Å): 3.4109 3.4109 11.5899
angles (deg): 81.54 81.54 60.00
Last column: nearest neighbours and their distance in Å.
Positions (direct):
1 Tm 0.8999 0.8999 0.3004  3 Al 3.01
2 Tm 0.1001 0.1001 0.6996  3 Al 3.01
3 Tb 0.0000 0.0000 0.0000  6 Tb 3.41, 2 Tm 3.43
4 Al 0.5000 0.5000 0.5000  6 Tm 3.01

## Properties
Size of the total moment   0.65 μB/cell
Symmetry   R-3m
Calculated total energy   -4.22 eV per atom
E_form   0.110 eV/atom

---

## TbTm6Al6 (PBE)

Data for a relaxed TbTm6Al6 crystal.

a b c (Å): 5.8628 5.8628 10.3725
angles (deg): 90.00 90.00 120.00
Last column: nearest neighbours and their distance in Å.
Positions (direct):
1 Tb 0.0000 0.0000 0.0000  8 Tm 3.38-3.48
2 Tm 0.3333 0.6667 0.5000  6 Al 3.14, 3 Tm 3.38
3 Tm 0.0000 0.0000 0.3355  6 Al 3.08, 1 Tm 3.41
4 Tm 0.6667 0.3333 0.5000  6 Al 3.14, 3 Tm 3.38
5 Tm 0.6667 0.3333 0.0000  6 Al 3.06, 3 Tm 3.38, 3 Tb 3.38
6 Tm 0.0000 0.0000 0.6645  6 Al 3.08, 1 Tm 3.41
7 Tm 0.3333 0.6667 0.0000  6 Al 3.06, 3 Tm 3.38, 3 Tb 3.38
8 Al 0.5000 0.0000 0.2455  4 Al 2.93, 6 Tm 3.06-3.14
9 Al 0.0000 0.5000 0.2455  4 Al 2.93, 6 Tm 3.06-3.14
10 Al 0.0000 0.5000 0.7545  4 Al 2.93, 6 Tm 3.06-3.14
11 Al 0.5000 0.5000 0.7544  4 Al 2.93, 6 Tm 3.06-3.14
12 Al 0.5000 0.0000 0.7545  4 Al 2.93, 6 Tm 3.06-3.14
13 Al 0.5000 0.5000 0.2456  4 Al 2.93, 6 Tm 3.06-3.14

## Properties
Size of the total moment   0.00 μB/cell
Symmetry   P6/mmm
Calculated total energy   -4.46 eV per atom
E_form   -0.310 eV/atom

---

## Tb4Tm5Al (PBE)

Data for a relaxed Tb4Tm5Al crystal.

a b c (Å): 3.5069 3.5069 23.9097
angles (deg): 90.00 90.00 90.00
Last column: nearest neighbours and their distance in Å.
Positions (direct):
1 Tm 0.5000 0.5000 0.0786  4 Al 3.11
2 Tm 0.5000 0.5000 0.7100  4 Tm 3.51, 8 Tb 3.53
3 Tm 0.5000 0.5000 0.5000  4 Tm 3.51, 8 Tb 3.53
4 Tm 0.5000 0.5000 0.9214  4 Al 3.11
5 Tm 0.5000 0.5000 0.2900  4 Tm 3.51, 8 Tb 3.53
6 Al 0.0000 0.0000 0.0000  8 Tm 3.11
7 Tb 0.0000 0.0000 0.1849  4 Tb 3.51, 8 Tm 3.53-3.55
8 Tb 0.0000 0.0000 0.6049  4 Tb 3.51, 8 Tm 3.53
9 Tb 0.0000 0.0000 0.8151  4 Tb 3.51, 8 Tm 3.53-3.55
10 Tb 0.0000 0.0000 0.3951  4 Tb 3.51, 8 Tm 3.53

## Properties
Size of the total moment   0.00 μB/cell
Symmetry   P4/mmm
Calculated total energy   -4.53 eV per atom
E_form   -0.064 eV/atom

---

## Tb3Tm2Al2 (PBE)

Data for a relaxed Tb3Tm2Al2 crystal.

a b c (Å): 3.4392 3.4392 16.2576
angles (deg): 89.99 83.95 90.00
Last column: nearest neighbours and their distance in Å.
Positions (direct):
1 Al 0.4378 0.5000 0.1248  8 Tb 3.15-3.16, 4 Al 3.44
2 Al 0.5622 0.5000 0.8752  8 Tb 3.15-3.16, 4 Al 3.44
3 Tb 0.8759 0.9999 0.2486  4 Al 3.15, 4 Tb 3.44
4 Tb 0.1241 0.0001 0.7514  4 Al 3.15, 4 Tb 3.44
5 Tb 0.0000 0.0000 0.0000  8 Al 3.16, 4 Tb 3.44
6 Tm 0.7038 0.5003 0.5920  6 Tm 3.43-3.44, 4 Tb 3.54
7 Tm 0.2962 0.4997 0.4080  6 Tm 3.43-3.44, 4 Tb 3.54

## Properties
Size of the total moment   0.37 μB/cell
Symmetry   P2/m
Calculated total energy   -4.47 eV per atom
E_form   -0.140 eV/atom

---

## Tb3TmAl4 (PBE)

Data for a relaxed Tb3TmAl4 crystal.

a b c (Å): 3.5959 3.5959 14.3942
angles (deg): 90.00 90.00 90.00
Last column: nearest neighbours and their distance in Å.
Positions (direct):
1 Tb 0.5000 0.5000 0.7530  8 Al 3.13
2 Tb 0.5000 0.5000 0.2470  8 Al 3.13
3 Tb 0.5000 0.5000 0.5000  8 Al 3.13
4 Al 0.0000 0.0000 0.8803  4 Tm 3.07, 4 Tb 3.13
5 Al 0.0000 0.0000 0.3735  8 Tb 3.13
6 Al 0.0000 0.0000 0.6265  8 Tb 3.13
7 Al 0.0000 0.0000 0.1197  4 Tm 3.07, 4 Tb 3.13
8 Tm 0.5000 0.5000 0.0000  8 Al 3.07

## Properties
Size of the total moment   0.00 μB/cell
Symmetry   P4/mmm
Calculated total energy   -4.56 eV per atom
E_form   -0.395 eV/atom